## 1
# Ca2NbCr2

A geometry-optimized Ca2NbCr2 structure (PBE-GGA, Alexandria).

Structure (CIF):
```
data_Ca2NbCr2
_chemical_formula_sum 'Ca4 Nb2 Cr4'
_space_group_name_H-M_alt 'I 4/m m m'
_space_group_IT_number 139
_space_group_name_Hall '-I 4 2'
_cell_length_a 3.151
_cell_length_b 3.151
_cell_length_c 21.699
_cell_angle_alpha 90.00
_cell_angle_beta 90.00
_cell_angle_gamma 90.00
loop_
_atom_site_label
_atom_site_type_symbol
_atom_site_fract_x
_atom_site_fract_y
_atom_site_fract_z
Ca1 Ca 0.000 0.000 0.117
Nb1 Nb 0.000 0.000 0.500
Cr1 Cr 0.000 0.500 0.250
```

Computed properties:
The theoretical density comes out at 4.27 g/cm3. As for the size of the total moment: 0.0 μB per formula unit.

---

## 2
# Ca2NbCr2

A geometry-optimized Ca2NbCr2 structure (PBE-GGA, Alexandria).

Structure (CIF):
```
data_Ca2NbCr2
_chemical_formula_sum 'Ca4 Nb2 Cr4'
_space_group_name_H-M_alt 'P 4/m b m'
_space_group_IT_number 127
_space_group_name_Hall '-P 4 2ab'
_cell_length_a 8.457
_cell_length_b 8.457
_cell_length_c 2.704
_cell_angle_alpha 90.00
_cell_angle_beta 90.00
_cell_angle_gamma 90.00
loop_
_atom_site_label
_atom_site_type_symbol
_atom_site_fract_x
_atom_site_fract_y
_atom_site_fract_z
Ca1 Ca 0.120 0.380 0.000
Nb1 Nb 0.000 0.000 0.000
Cr1 Cr 0.188 0.688 0.500
```

Computed properties:
The theoretical density comes out at 4.76 g/cm3. As for the size of the total moment: 0.0 μB per formula unit.

---

Which of them is the most stable, and which is the least stable? 1 and 2, in that order.